This record from the Alexandria database describes a geometry-optimized SrLa2GeRu structure. The functional is GGA-PBE.

Uncorrected energy = -5.315 eV/atom
Calculated formation energy = -0.229 eV per atom
Total magnetic moment = 0.0 μB per formula unit

CIF file:
```
data_SrLa2GeRu
_symmetry_space_group_name_H-M 'P 4/m m m'
_symmetry_Int_Tables_number 123
_symmetry_space_group_name_Hall '-P 4 2'
_cell_length_a 5.551
_cell_length_b 5.551
_cell_length_c 5.057
_cell_angle_alpha 90.00
_cell_angle_beta 90.00
_cell_angle_gamma 90.00
loop_
_atom_site_label
_atom_site_type_symbol
_atom_site_fract_x
_atom_site_fract_y
_atom_site_fract_z
Sr1 Sr 0.000 0.000 0.000
La1 La 0.000 0.500 0.500
Ge1 Ge 0.500 0.500 0.000
Ru1 Ru 0.500 0.500 0.500
```